1.
# GGA-PBE Pu2Hg2Ge, optimized geometry
# size of the total moment = 22.9 μB/cell
data_Pu2Hg2Ge
_chemical_formula_sum 'Pu4 Hg4 Ge2'
_cell_length_a 4.016
_cell_length_b 4.016
_cell_length_c 16.420
_cell_angle_alpha 90.00
_cell_angle_beta 90.00
_cell_angle_gamma 90.00
_space_group_name_H-M_alt 'I 4/m m m'
_space_group_IT_number 139
_space_group_name_Hall '-I 4 2'
loop_
_atom_site_label
_atom_site_fract_x
_atom_site_fract_y
_atom_site_fract_z
_atom_site_occupancy
Pu1 0.000 0.000 0.087 1
Hg1 0.000 0.500 0.250 1
Ge1 0.000 0.000 0.500 1

=====

2.
# GGA-PBE Pu4Hg3Ge, optimized geometry
# size of the total moment = 0.1 μB/cell
data_Pu4Hg3Ge
_chemical_formula_sum 'Pu4 Hg3 Ge1'
_cell_length_a 3.251
_cell_length_b 3.251
_cell_length_c 18.424
_cell_angle_alpha 90.00
_cell_angle_beta 90.00
_cell_angle_gamma 90.00
_space_group_name_H-M_alt 'P 4/m m m'
_space_group_IT_number 123
_space_group_name_Hall '-P 4 2'
loop_
_atom_site_label
_atom_site_fract_x
_atom_site_fract_y
_atom_site_fract_z
_atom_site_occupancy
Pu1 0.000 0.000 0.110 1
Pu2 0.000 0.000 0.370 1
Hg1 0.500 0.500 0.241 1
Hg2 0.500 0.500 0.500 1
Ge1 0.500 0.500 0.000 1

=====

3.
# GGA-PBE Pu3HgGe, optimized geometry
# relative energy among the computed polymorphs = 0.000 eV/atom
# size of the total moment = 53.7 μB/cell
data_Pu3HgGe
_chemical_formula_sum 'Pu9 Hg3 Ge3'
_cell_length_a 7.247
_cell_length_b 7.247
_cell_length_c 7.247
_cell_angle_alpha 90.00
_cell_angle_beta 90.00
_cell_angle_gamma 90.00
_space_group_name_H-M_alt 'P m -3 m'
_space_group_IT_number 221
_space_group_name_Hall '-P 4 2 3'
loop_
_atom_site_label
_atom_site_fract_x
_atom_site_fract_y
_atom_site_fract_z
_atom_site_occupancy
Pu1 0.000 0.000 0.000 1
Pu2 0.273 0.273 0.273 1
Hg1 0.000 0.000 0.500 1
Ge1 0.000 0.500 0.500 1

=====

Energy of formation values, unit kJ/mol of formula units, following the record order: -13, -160, -67.
Density of states at the Fermi level values, unit states/eV/atom, following the record order: 3.950, 2.936, 3.839.